Density functional theory data (PBE) for a relaxed Nd2MgNi4As3 crystal.

Structure (POSCAR):
```
Nd2MgNi4As3
1.0
4.095 0.000 0.000
0.000 4.095 0.000
0.000 0.000 10.154
Nd Mg Ni As
2 1 4 3
Cartesian
0.000 2.047 2.392
2.047 0.000 7.762
0.000 0.000 5.077
0.000 0.000 0.000
0.000 2.047 6.509
2.047 0.000 3.645
2.047 2.047 0.000
0.000 2.047 8.848
2.047 0.000 1.306
2.047 2.047 5.077
```

## Properties
The value obtained for the total energy is -55.70 eV/cell. As for the space-group type: No. 115. The formation enthalpy at 0 K comes out at -17.3 kcal/mol of atoms.